Record 1
HfIn3Ge at its PBEsol-relaxed geometry. Source: Alexandria via LeMat-Bulk, functional SCAN.

Results
Its space group is Pm-3m. The energy comes out at -35.551 eV/atom. The calculation puts the total magnetization at 0.00 μB/f.u.

a = 5.4276 Å, b = 5.4276 Å, c = 5.4276 Å
α = 90.00°, β = 90.00°, γ = 90.00°
Closest atoms and distances in Å follow each position.
Fractional positions:
Hf1 0.0000 0.0000 0.0000  6 In 2.71
In1 0.0000 0.0000 0.5000  2 Hf 2.71
In2 0.0000 0.5000 0.0000  2 Hf 2.71
In3 0.5000 0.0000 0.0000  2 Hf 2.71
Ge1 0.5000 0.5000 0.5000  12 In 3.84

***

Record 2
Hf2InGeSe at its PBEsol-relaxed geometry. Source: Alexandria via LeMat-Bulk, functional SCAN.

Results
Its space group is P4/mmm. The energy comes out at -38.427 eV/atom. The calculation puts the total magnetization at 0.02 μB/f.u. The calculation puts the energy relative to the elements, uncorrected at 1.153 eV per atom.

a = 5.3258 Å, b = 5.3258 Å, c = 4.6920 Å
α = 90.00°, β = 90.00°, γ = 90.00°
Closest atoms and distances in Å follow each position.
Fractional positions:
Hf1 0.0000 0.5000 0.0000  2 In 2.66
Hf2 0.5000 0.0000 0.0000  2 In 2.66
In1 0.0000 0.0000 0.0000  2 Ge 2.35
Ge1 0.0000 0.0000 0.5000  2 In 2.35
Se1 0.5000 0.5000 0.5000  8 Hf 3.55, 4 Ge 3.77

***

Record 3
Hf2Ge2Ir at its PBEsol-relaxed geometry. Source: Alexandria via LeMat-Bulk, functional SCAN.

Results
Its space group is P4/mbm. The energy comes out at -47.777 eV/atom. The calculation puts the total magnetization at 0.00 μB/f.u.

a = 6.3580 Å, b = 6.3580 Å, c = 4.1469 Å
α = 90.00°, β = 90.00°, γ = 90.00°
Closest atoms and distances in Å follow each position.
Fractional positions:
Hf1 0.1683 0.3317 0.0000  6 Ge 2.71-2.85, 1 Hf 3.03
Hf2 0.3317 0.8317 0.0000  6 Ge 2.71-2.85, 1 Hf 3.03
Hf3 0.6683 0.1683 0.0000  6 Ge 2.71-2.85, 1 Hf 3.03
Hf4 0.8317 0.6683 0.0000  6 Ge 2.71-2.85, 1 Hf 3.03
Ge1 0.1376 0.6376 0.5000  2 Ir 2.46, 1 Ge 2.47, 2 Hf 2.71
Ge2 0.3624 0.1376 0.5000  2 Ir 2.46, 1 Ge 2.47, 2 Hf 2.71
Ge3 0.6376 0.8624 0.5000  2 Ir 2.46, 1 Ge 2.47, 2 Hf 2.71
Ge4 0.8624 0.3624 0.5000  2 Ir 2.46, 1 Ge 2.47, 2 Hf 2.71
Ir1 0.0000 0.0000 0.5000  4 Ge 2.46
Ir2 0.5000 0.5000 0.5000  4 Ge 2.46